1.
The following is a DFT calculation (meta-GGA SCAN) of NdBO3 at its PBEsol-relaxed geometry.

* formation energy without anion corrections: -3.34 eV/atom
* volume: 240.22 Å³ per cell
* total magnetic moment: 0.0 μB/cell

```
NdBO3
1.0
5.084 0.000 0.000
0.000 5.804 0.000
0.000 0.000 8.142
O B Nd
12 4 4
Cartesian
2.464 2.407 2.635
2.464 5.309 1.436
3.813 0.553 4.634
2.620 0.495 6.706
5.005 3.396 5.507
1.271 5.251 3.508
0.078 5.309 1.436
0.078 2.407 2.635
1.271 2.349 0.563
3.813 3.454 7.579
5.005 0.495 6.706
2.620 3.396 5.507
3.813 0.467 6.007
3.813 3.368 6.207
1.271 5.337 2.136
1.271 2.435 1.936
3.813 1.406 0.693
3.813 4.308 3.378
1.271 4.397 7.449
1.271 1.495 4.765
```


2.
The following is a DFT calculation (meta-GGA SCAN) of Nd3BWO9 at its PBEsol-relaxed geometry.

* formation energy without anion corrections: -3.29 eV/atom
* volume: 356.78 Å³ per cell
* total magnetic moment: 0.0 μB/cell

```
Nd3BWO9
1.0
5.492 0.000 0.000
0.000 8.661 0.000
0.000 -4.330 7.501
W B Nd O
2 2 6 18
Cartesian
4.125 4.330 2.500
1.378 0.000 5.000
3.495 0.000 0.000
0.749 0.000 0.000
1.611 5.918 0.636
1.611 1.923 2.057
4.357 2.408 5.443
4.357 -0.820 2.694
4.357 -1.588 6.864
1.611 5.151 4.807
5.259 5.767 2.049
2.513 -1.437 5.452
2.513 1.109 6.019
2.877 5.828 2.837
0.131 0.457 6.466
2.877 3.873 1.035
2.513 0.328 3.530
0.131 1.040 3.872
0.795 -0.359 1.332
0.795 -2.998 7.145
0.131 -1.498 4.664
3.542 0.974 0.977
5.259 4.003 3.970
0.795 3.356 6.524
3.542 7.328 0.355
3.542 4.689 6.168
2.877 3.290 3.629
5.259 3.221 1.481
```


3.
The following is a DFT calculation (meta-GGA SCAN) of NdZnB5O10 at its PBEsol-relaxed geometry.

* formation energy without anion corrections: -2.76 eV/atom
* volume: 622.37 Å³ per cell
* total magnetic moment: 0.0 μB/cell

```
NdZnB5O10
1.0
-5.259 3.519 -4.228
2.699 -4.362 -6.988
-5.993 -7.149 1.503
O B Nd Zn
40 20 4 4
Cartesian
-0.724 -1.782 -2.657
-4.393 -3.018 -2.151
1.063 -3.320 -7.843
-3.118 0.138 -3.342
-5.807 -3.470 -3.964
-7.829 -6.210 -7.055
-4.752 -9.636 -3.857
-5.145 -1.148 -3.479
-1.531 -3.884 -1.814
-6.002 -4.597 -0.292
-3.226 -5.413 -1.122
-3.027 -4.885 -3.392
-5.575 -6.930 -0.284
-3.925 -7.707 -2.719
-2.480 -0.386 -6.148
-2.551 -3.395 -9.421
-5.434 -8.129 -6.370
-4.628 -0.285 -6.994
-4.159 -4.974 -7.562
-1.026 -2.583 -7.093
-0.681 -6.912 -6.969
-6.073 -7.606 -3.564
-5.784 2.012 -4.492
-2.978 -1.061 -9.428
-5.060 -5.330 -5.328
-4.556 -7.191 -8.354
-3.407 -6.844 -6.233
-3.997 -0.801 -1.359
-5.326 -2.579 -8.590
-3.801 1.644 -5.856
-7.871 -1.080 -2.744
-3.492 -2.662 -4.384
-7.021 -4.108 -7.898
-7.526 -5.409 -2.620
-2.769 -10.004 -5.220
-5.526 -3.107 -6.320
-2.746 -4.522 -5.749
-7.285 -4.529 -5.488
-1.268 -3.463 -4.225
-9.616 -4.672 -1.869
-5.886 -4.087 -5.304
-2.347 -2.153 -10.197
-2.666 -3.905 -4.409
0.102 -1.225 -1.592
-4.932 -8.363 -3.393
-3.620 0.371 -6.319
-8.655 -6.767 -8.121
-5.819 -9.423 -6.110
-2.575 -4.737 -2.084
-4.720 -2.543 -3.539
-5.977 -3.255 -7.628
-0.716 -3.230 -2.881
-4.161 -7.782 -7.069
-4.609 -5.825 -8.532
-3.832 -5.449 -6.173
-7.837 -4.762 -6.832
-2.733 1.432 -3.602
-4.392 -0.210 -2.644
-3.944 -2.167 -1.180
-6.206 -5.838 0.485
-0.169 -4.609 -6.141
-3.339 -2.457 -7.255
-5.214 -5.535 -2.458
-8.384 -3.382 -3.572
-6.755 0.053 -4.047
-1.855 -1.148 -4.293
-6.698 -6.844 -5.419
-1.798 -8.044 -5.665
```


4.
The following is a DFT calculation (meta-GGA SCAN) of NdB4Os4 at its PBEsol-relaxed geometry.

* calculated formation energy: -0.437 eV/atom
* volume: 227.71 Å³ per cell
* total magnetic moment: 0.0 μB/cell

```
NdB4Os4
1.0
3.991 0.000 0.000
0.000 7.554 0.000
0.000 0.000 7.554
B Os Nd
8 8 2
Cartesian
3.548 6.314 5.425
1.553 5.905 2.537
3.548 1.240 2.128
2.438 5.017 5.905
1.553 1.649 5.017
2.438 2.537 1.649
0.443 2.128 6.314
0.443 5.425 1.240
1.546 6.459 4.588
0.449 4.872 6.742
1.546 1.095 2.966
2.444 2.966 6.459
0.449 2.682 0.811
3.542 0.811 4.872
2.444 4.588 1.095
3.542 6.742 2.682
1.995 0.000 0.000
0.000 3.777 3.777
```


5.
The following is a DFT calculation (meta-GGA SCAN) of NdBPt2 at its PBEsol-relaxed geometry.

* calculated formation energy: -1.110 eV/atom
* volume: 200.54 Å³ per cell
* total magnetic moment: 0.0 μB/cell

```
NdBPt2
1.0
5.418 0.000 0.000
-2.709 4.692 0.000
0.000 0.000 7.889
B Pt Nd
3 6 3
Cartesian
2.709 0.000 1.315
1.354 2.346 3.944
-1.354 2.346 6.574
2.709 3.272 5.259
0.000 1.420 5.259
4.188 0.710 0.000
1.230 0.710 2.630
1.479 3.982 2.630
-1.479 3.982 0.000
-1.354 2.346 2.630
2.709 0.000 5.259
1.354 2.346 0.000
```


6.
The following is a DFT calculation (meta-GGA SCAN) of NdBPt3 at its PBEsol-relaxed geometry.

* calculated formation energy: -1.039 eV/atom
* volume: 80.24 Å³ per cell
* total magnetic moment: 0.0 μB/cell

```
NdBPt3
1.0
-0.612 3.642 1.509
-3.644 0.060 -1.623
-1.901 -2.057 4.192
Pt B Nd
3 1 1
Cartesian
-1.254 0.796 2.845
-2.770 -0.995 1.279
-2.322 1.641 0.371
-3.435 0.436 2.827
-1.864 -2.017 4.112
```


7.
The following is a DFT calculation (meta-GGA SCAN) of NdBRh3 at its PBEsol-relaxed geometry.

* calculated formation energy: -0.785 eV/atom
* volume: 73.78 Å³ per cell
* total magnetic moment: 0.3 μB/cell

```
NdBRh3
1.0
4.194 0.000 0.000
0.000 4.194 0.000
0.000 0.000 4.194
Rh Nd B
3 1 1
Cartesian
0.000 2.097 2.097
2.097 2.097 0.000
2.097 0.000 2.097
0.000 0.000 0.000
2.097 2.097 2.097
```


8.
The following is a DFT calculation (meta-GGA SCAN) of NdB4Ru4 at its PBEsol-relaxed geometry.

* calculated formation energy: -0.508 eV/atom
* volume: 417.67 Å³ per cell
* total magnetic moment: 0.0 μB/cell

```
NdB4Ru4
1.0
7.466 0.000 0.000
0.000 7.466 0.000
-3.733 -3.733 7.493
B Ru Nd
16 16 4
Cartesian
2.656 -2.488 6.271
2.488 1.077 2.524
-1.077 4.978 4.969
1.077 2.488 4.969
-2.656 2.488 6.271
4.978 -1.077 2.524
6.221 6.389 1.223
1.077 1.245 6.271
4.978 2.656 1.223
-1.077 -1.245 6.271
1.245 4.810 2.524
2.656 -1.245 4.969
-1.245 2.656 2.524
1.245 1.077 1.223
4.810 1.245 4.969
2.488 4.810 1.223
0.867 2.652 2.823
-2.652 -2.866 6.570
-1.081 0.867 6.570
2.866 -1.081 2.823
6.599 1.081 0.924
-0.867 4.814 2.823
4.600 4.814 0.924
4.600 1.081 2.823
4.814 -0.867 4.670
1.081 -0.867 6.570
2.652 0.867 4.670
2.652 2.866 6.570
1.081 4.600 4.670
2.866 2.652 0.924
0.867 6.385 0.924
-1.081 2.866 4.670
0.000 0.000 3.747
3.733 0.000 0.000
0.000 3.733 0.000
3.733 3.733 3.747
```


9.
The following is a DFT calculation (meta-GGA SCAN) of Ni2B at its PBEsol-relaxed geometry.

* calculated formation energy: -0.297 eV/atom
* volume: 50.85 Å³ per cell
* total magnetic moment: 0.0 μB/cell

```
Ni2B
1.0
-0.832 3.699 1.461
-1.846 -1.124 -3.440
-1.293 -2.608 2.834
Ni B
4 2
Cartesian
-2.460 -2.313 0.321
-1.512 2.280 0.534
-2.738 0.237 -0.464
-1.234 -0.270 1.319
-0.670 0.644 -0.495
-2.009 1.931 -1.485
```


10.
The following is a DFT calculation (meta-GGA SCAN) of NiB4O7 at its PBEsol-relaxed geometry.

* formation energy without anion corrections: -2.39 eV/atom
* volume: 177.23 Å³ per cell
* total magnetic moment: 4.0 μB/cell

```
NiB4O7
1.0
5.177 0.000 0.000
0.000 6.276 0.037
0.000 3.073 5.472
O B Ni
14 8 2
Cartesian
0.115 4.106 1.041
3.883 7.329 4.164
1.294 6.084 0.363
1.294 7.194 4.394
2.704 2.900 3.088
2.473 4.106 1.041
5.062 5.243 4.468
2.704 5.243 4.468
2.473 6.449 2.422
3.883 2.156 1.115
1.294 2.020 1.345
3.883 3.265 5.147
0.115 6.449 2.422
5.062 2.900 3.088
2.589 2.799 1.649
3.883 4.730 5.131
1.294 4.619 0.379
0.000 2.799 1.649
2.589 6.550 3.860
3.883 2.569 3.857
1.294 6.780 1.652
0.000 6.550 3.860
1.294 3.913 4.046
3.883 5.436 1.463
```


11.
The following is a DFT calculation (meta-GGA SCAN) of NiB2PbO at its PBEsol-relaxed geometry.

* formation energy without anion corrections: 1.35 eV/atom
* volume: 63.40 Å³ per cell
* total magnetic moment: 0.2 μB/cell

```
NiB2PbO
1.0
3.597 0.000 0.000
0.000 3.597 0.000
0.000 0.000 4.899
O Pb B Ni
1 1 2 1
Cartesian
0.000 0.000 0.000
0.000 0.000 2.449
1.799 0.000 0.000
0.000 1.799 0.000
1.799 1.799 2.449
```


12.
The following is a DFT calculation (meta-GGA SCAN) of ReNiB2O at its PBEsol-relaxed geometry.

* formation energy without anion corrections: 0.88 eV/atom
* volume: 46.46 Å³ per cell
* total magnetic moment: 0.0 μB/cell

```
ReNiB2O
1.0
3.438 0.000 0.000
0.000 3.676 0.000
0.000 0.000 3.676
O Re Ni B
1 1 1 2
Cartesian
0.000 0.000 0.000
1.719 1.838 1.838
1.719 0.000 0.000
0.000 0.000 1.838
0.000 1.838 0.000
```